Entry 1:
Computed, not measured: a relaxed ZrOsPt2 crystal at the PBE-GGA level of DFT.

a = 9.8578 Å, b = 9.8578 Å, c = 9.8578 Å
α = 157.24°, β = 157.24°, γ = 32.41°
Last column: nearest neighbours and their distance in Å.
Sites, in units of the cell vectors:
Zr: 0.0000 0.0000 0.0000  4 Os 2.75, 4 Pt 2.76
Zr: 0.7500 0.2500 0.5000  4 Os 2.75, 4 Pt 2.76
Os: 0.2500 0.7500 0.5000  4 Pt 2.72, 4 Zr 2.75
Os: 0.5000 0.5000 0.0000  4 Pt 2.72, 4 Zr 2.75
Pt: 0.1391 0.6250 0.0141  4 Pt 2.67-2.83, 2 Os 2.72, 2 Zr 2.76
Pt: 0.3750 0.3891 0.5141  4 Pt 2.67-2.83, 2 Os 2.72, 2 Zr 2.76
Pt: 0.6109 0.1250 0.9859  4 Pt 2.67-2.83, 2 Os 2.72, 2 Zr 2.76
Pt: 0.8750 0.8609 0.4859  4 Pt 2.67-2.83, 2 Os 2.72, 2 Zr 2.76

Calculated values
For the total energy, the calculation gives -8.07 eV per atom. For the total magnetic moment, the calculation gives 0.00 μB per cell. As for the space group: No. 122.

Entry 2:
Computed, not measured: a relaxed Sm2ZnRuC crystal at the PBE-GGA level of DFT.

a = 5.1196 Å, b = 5.1196 Å, c = 3.8998 Å
α = 90.00°, β = 90.00°, γ = 90.00°
Last column: nearest neighbours and their distance in Å.
Sites, in units of the cell vectors:
Sm: 0.0000 0.5000 0.0000  2 C 2.56
Sm: 0.5000 0.0000 0.0000  2 C 2.56
Zn: 0.0000 0.0000 0.5000  8 Sm 3.22
Ru: 0.5000 0.5000 0.5000  2 C 1.95
C: 0.5000 0.5000 0.0000  2 Ru 1.95

Calculated values
For the total energy, the calculation gives -6.16 eV per atom. For the total magnetic moment, the calculation gives 0.00 μB per cell. As for the space group: No. 123.

Entry 3:
Computed, not measured: a relaxed NdSm2SbO8 crystal at the PBE-GGA level of DFT.

a = 4.1966 Å, b = 7.4644 Å, c = 5.3416 Å
α = 90.00°, β = 93.96°, γ = 90.00°
Last column: nearest neighbours and their distance in Å.
Sites, in units of the cell vectors:
Nd: 0.0000 0.0000 0.0000  8 O 2.39-2.59
Sm: 0.5000 0.2551 0.5000  6 O 2.32-2.44
Sm: 0.5000 0.7449 0.5000  6 O 2.32-2.44
Sb: 0.0000 0.5000 0.0000  6 O 2.01-2.06
O: 0.0455 0.2892 0.7575  1 Sb 2.06
O: 0.0455 0.7108 0.7575  1 Sb 2.06
O: 0.4255 0.5000 0.1980  1 Sb 2.01, 1 O 2.25
O: 0.4941 0.0000 0.2513  2 Sm 2.32, 2 Nd 2.39-2.59
O: 0.5059 0.0000 0.7487  2 Sm 2.32, 2 Nd 2.39-2.59
O: 0.5745 0.5000 0.8020  1 Sb 2.01, 1 O 2.25
O: 0.9545 0.2892 0.2425  1 Sb 2.06
O: 0.9545 0.7108 0.2425  1 Sb 2.06

Calculated values
As for the energy relative to the elements, uncorrected: -55.52 kcal/mol of atoms. For the total magnetic moment, the calculation gives 1.95 μB per cell. As for the space group: No. 10.

Entry 4:
Computed, not measured: a relaxed Tl4AgOs crystal at the PBE-GGA level of DFT.

a = 6.0757 Å, b = 6.0757 Å, c = 6.0757 Å
α = 60.00°, β = 60.00°, γ = 60.00°
Last column: nearest neighbours and their distance in Å.
Sites, in units of the cell vectors:
Tl: 0.1253 0.1253 0.1253  6 Tl 3.03-3.05
Tl: 0.1253 0.1253 0.6241  6 Tl 3.03-3.05
Tl: 0.1253 0.6241 0.1253  6 Tl 3.03-3.05
Tl: 0.6241 0.1253 0.1253  6 Tl 3.03-3.05
Ag: 0.7500 0.7500 0.7500  12 Tl 3.56, 4 Os 3.72
Os: 0.5000 0.5000 0.5000  12 Tl 3.56, 4 Ag 3.72

Calculated values
For the total energy, the calculation gives -2.75 eV per atom. For the total magnetic moment, the calculation gives 1.55 μB per cell. As for the space group: No. 216.

Entry 5:
Computed, not measured: a relaxed CsHf2PaO8 crystal at the PBE-GGA level of DFT.

a = 5.1202 Å, b = 5.1202 Å, c = 7.6138 Å
α = 95.62°, β = 95.62°, γ = 86.11°
Last column: nearest neighbours and their distance in Å.
Sites, in units of the cell vectors:
Cs: 0.0000 0.0000 0.0000  6 O 2.82-3.04
Hf: 0.4955 0.4955 0.7088  4 O 1.97-2.16
Hf: 0.5045 0.5045 0.2912  4 O 1.97-2.16
Pa: 0.0000 0.0000 0.5000  6 O 2.13-2.35
O: 0.1676 0.7339 0.3020  1 Hf 2.02, 1 Pa 2.13
O: 0.2661 0.8324 0.6980  1 Hf 2.02, 1 Pa 2.13
O: 0.3140 0.3140 0.4952  1 Hf 1.97
O: 0.4004 0.4004 0.9641  1 O 1.52
O: 0.5996 0.5996 0.0359  1 O 1.52
O: 0.6860 0.6860 0.5048  1 Hf 1.97
O: 0.7339 0.1676 0.3020  1 Hf 2.02, 1 Pa 2.13
O: 0.8324 0.2661 0.6980  1 Hf 2.02, 1 Pa 2.13

Calculated values
As for the energy relative to the elements, uncorrected: -64.61 kcal/mol of atoms. For the total magnetic moment, the calculation gives 0.06 μB per cell. As for the space group: No. 12.

Entry 6:
Computed, not measured: a relaxed Ti4AlTc2 crystal at the PBE-GGA level of DFT.

a = 6.9935 Å, b = 6.9935 Å, c = 6.9935 Å
α = 141.46°, β = 141.46°, γ = 55.64°
Last column: nearest neighbours and their distance in Å.
Sites, in units of the cell vectors:
Ti: 0.0000 0.5000 0.5000  2 Al 2.31
Ti: 0.2008 0.2008 0.0000  1 Tc 2.25, 1 Al 2.48
Ti: 0.5000 0.0000 0.5000  2 Al 2.31
Ti: 0.7992 0.7992 0.0000  1 Tc 2.25, 1 Al 2.48
Al: 0.0000 0.0000 0.0000  6 Ti 2.31-2.48
Tc: 0.3828 0.3828 0.0000  1 Ti 2.25
Tc: 0.6172 0.6172 0.0000  1 Ti 2.25

Calculated values
For the total energy, the calculation gives -7.34 eV per atom. For the total magnetic moment, the calculation gives 0.00 μB per cell. As for the space group: No. 139.

Entry 7:
Computed, not measured: a relaxed RbCd4As3 crystal at the PBE-GGA level of DFT.

a = 12.7160 Å, b = 12.7160 Å, c = 12.7160 Å
α = 20.70°, β = 20.70°, γ = 20.70°
Last column: nearest neighbours and their distance in Å.
Sites, in units of the cell vectors:
Rb: 0.0000 0.0000 0.0000  6 As 3.56
Cd: 0.1971 0.1971 0.1971  4 As 2.69-2.87
Cd: 0.4143 0.4143 0.4143  3 As 2.71
Cd: 0.5857 0.5857 0.5857  3 As 2.71
Cd: 0.8029 0.8029 0.8029  4 As 2.69-2.87
As: 0.2691 0.2691 0.2691  4 Cd 2.69-2.71
As: 0.5000 0.5000 0.5000  8 Cd 2.87-3.20
As: 0.7309 0.7309 0.7309  4 Cd 2.69-2.71

Calculated values
For the total energy, the calculation gives -2.56 eV per atom. For the total magnetic moment, the calculation gives 0.00 μB per cell. As for the space group: No. 166.

Entry 8:
Computed, not measured: a relaxed TaCdFe2 crystal at the PBE-GGA level of DFT.

a = 8.7102 Å, b = 8.7102 Å, c = 8.7102 Å
α = 19.40°, β = 19.40°, γ = 19.40°
Last column: nearest neighbours and their distance in Å.
Sites, in units of the cell vectors:
Ta: 0.0000 0.0000 0.0000  6 Fe 2.61
Cd: 0.5000 0.5000 0.5000  6 Fe 2.85, 6 Cd 2.94
Fe: 0.2561 0.2561 0.2561  3 Ta 2.61, 3 Cd 2.85
Fe: 0.7439 0.7439 0.7439  3 Ta 2.61, 3 Cd 2.85

Calculated values
For the total energy, the calculation gives -7.10 eV per atom. For the total magnetic moment, the calculation gives 3.74 μB per cell. As for the space group: No. 166.

Entry 9:
Computed, not measured: a relaxed TmCd3Ag crystal at the PBE-GGA level of DFT.

a = 9.5035 Å, b = 3.8331 Å, c = 12.6305 Å
α = 90.00°, β = 90.00°, γ = 90.00°
Last column: nearest neighbours and their distance in Å.
Sites, in units of the cell vectors:
Tm: 0.1663 0.2500 0.0065  2 Ag 3.07, 6 Cd 3.19-3.36
Tm: 0.3337 0.7500 0.5065  2 Ag 3.07, 6 Cd 3.19-3.36
Tm: 0.6663 0.2500 0.4935  2 Ag 3.07, 6 Cd 3.19-3.36
Tm: 0.8337 0.7500 0.9935  2 Ag 3.07, 6 Cd 3.19-3.36
Cd: 0.0710 0.2500 0.4142  3 Ag 2.85-2.87, 1 Cd 2.90
Cd: 0.0790 0.7500 0.2059  2 Ag 2.78-2.95, 2 Cd 2.98
Cd: 0.1608 0.7500 0.8044  2 Ag 2.90, 3 Cd 2.90-2.98, 2 Tm 3.19
Cd: 0.3392 0.2500 0.3044  2 Ag 2.90, 3 Cd 2.90-2.98, 2 Tm 3.19
Cd: 0.4210 0.2500 0.7059  2 Ag 2.78-2.95, 2 Cd 2.98
Cd: 0.4290 0.7500 0.9142  3 Ag 2.85-2.87, 1 Cd 2.90
Cd: 0.5710 0.2500 0.0858  3 Ag 2.85-2.87, 1 Cd 2.90
Cd: 0.5790 0.7500 0.2941  2 Ag 2.78-2.95, 2 Cd 2.98
Cd: 0.6608 0.7500 0.6956  2 Ag 2.90, 3 Cd 2.90-2.98, 2 Tm 3.19
Cd: 0.8392 0.2500 0.1956  2 Ag 2.90, 3 Cd 2.90-2.98, 2 Tm 3.19
Cd: 0.9210 0.2500 0.7941  2 Ag 2.78-2.95, 2 Cd 2.98
Cd: 0.9290 0.7500 0.5858  3 Ag 2.85-2.87, 1 Cd 2.90
Ag: 0.1453 0.2500 0.6328  7 Cd 2.78-2.95, 2 Tm 3.07
Ag: 0.3547 0.7500 0.1328  7 Cd 2.78-2.95, 2 Tm 3.07
Ag: 0.6453 0.2500 0.8672  7 Cd 2.78-2.95, 2 Tm 3.07
Ag: 0.8547 0.7500 0.3672  7 Cd 2.78-2.95, 2 Tm 3.07

Calculated values
For the total magnetic moment, the calculation gives 0.00 μB per cell. As for the energy above the lowest structure with this stoichiometry: 0.0000 eV/atom. As for the space group: No. 62.

Entry 10:
Computed, not measured: a relaxed RbBaH crystal at the PBE-GGA level of DFT.

a = 4.3655 Å, b = 7.8477 Å, c = 8.2613 Å
α = 109.28°, β = 90.04°, γ = 90.06°
Last column: nearest neighbours and their distance in Å.
Sites, in units of the cell vectors:
Rb: 0.0000 0.0000 0.0000  1 H 2.85
Rb: 0.4988 0.5168 0.0087  2 H 3.37
Ba: 0.9997 0.5415 0.4926  2 H 2.59-2.70
Ba: 0.5005 0.9682 0.4932  4 H 2.64-2.85
H: 0.9996 0.7644 0.3045  1 H 2.57, 3 Ba 2.70-2.85
H: 0.0006 0.8895 0.6345  1 H 2.57, 3 Ba 2.59-2.64, 1 Rb 2.85

Calculated values
For the total magnetic moment, the calculation gives 0.44 μB per cell. As for the energy above the lowest structure with this stoichiometry: 0.1290 eV/atom. As for the space group: No. 1.

Entry 11:
Computed, not measured: a relaxed PmTmGaSi crystal at the PBE-GGA level of DFT.

a = 5.0516 Å, b = 5.0516 Å, c = 5.0516 Å
α = 60.00°, β = 60.00°, γ = 60.00°
Last column: nearest neighbours and their distance in Å.
Sites, in units of the cell vectors:
Pm: 0.0000 0.0000 0.0000  4 Si 3.09, 4 Ga 3.09
Tm: 0.5000 0.5000 0.5000  4 Si 3.09, 4 Ga 3.09
Ga: 0.2500 0.2500 0.2500  4 Tm 3.09, 4 Pm 3.09
Si: 0.7500 0.7500 0.7500  4 Pm 3.09, 4 Tm 3.09

Calculated values
As for the energy relative to the elements, uncorrected: -10.96 kcal/mol of atoms. For the total magnetic moment, the calculation gives 0.00 μB per cell. As for the energy above the lowest structure with this stoichiometry: 0.2425 eV/atom. As for the space group: No. 216.

Entry 12:
Computed, not measured: a relaxed PrGa11Co crystal at the PBE-GGA level of DFT.

a = 6.7099 Å, b = 6.7099 Å, c = 7.5937 Å
α = 95.68°, β = 95.68°, γ = 134.16°
Last column: nearest neighbours and their distance in Å.
Sites, in units of the cell vectors:
Pr: 0.0000 0.0000 0.0000  16 Ga 3.27-3.55
Ga: 0.0000 0.0000 0.5000  2 Co 2.61, 8 Ga 2.69-2.76
Ga: 0.0000 0.5000 0.0000  6 Ga 2.61-2.89
Ga: 0.0469 0.3880 0.3710  1 Co 2.62, 4 Ga 2.69-2.93
Ga: 0.2700 0.4843 0.7635  1 Co 2.61, 5 Ga 2.65-2.89
Ga: 0.3880 0.0469 0.3710  1 Co 2.62, 4 Ga 2.69-2.93
Ga: 0.4843 0.2700 0.7635  1 Co 2.61, 5 Ga 2.65-2.89
Ga: 0.5000 0.0000 0.0000  6 Ga 2.61-2.89
Ga: 0.5157 0.7300 0.2365  1 Co 2.61, 5 Ga 2.65-2.89
Ga: 0.6120 0.9531 0.6290  1 Co 2.62, 4 Ga 2.69-2.93
Ga: 0.7300 0.5157 0.2365  1 Co 2.61, 5 Ga 2.65-2.89
Ga: 0.9531 0.6120 0.6290  1 Co 2.62, 4 Ga 2.69-2.93
Co: 0.5000 0.5000 0.5000  10 Ga 2.61-2.62

Calculated values
For the total energy, the calculation gives -3.64 eV per atom. For the total magnetic moment, the calculation gives 0.00 μB per cell. As for the space group: No. 12.

Please write out number 8 again, unchanged.
Computed, not measured: a relaxed TaCdFe2 crystal at the PBE-GGA level of DFT.

a = 8.7102 Å, b = 8.7102 Å, c = 8.7102 Å
α = 19.40°, β = 19.40°, γ = 19.40°
Last column: nearest neighbours and their distance in Å.
Sites, in units of the cell vectors:
Ta: 0.0000 0.0000 0.0000  6 Fe 2.61
Cd: 0.5000 0.5000 0.5000  6 Fe 2.85, 6 Cd 2.94
Fe: 0.2561 0.2561 0.2561  3 Ta 2.61, 3 Cd 2.85
Fe: 0.7439 0.7439 0.7439  3 Ta 2.61, 3 Cd 2.85

Calculated values
For the total energy, the calculation gives -7.10 eV per atom. For the total magnetic moment, the calculation gives 3.74 μB per cell. As for the space group: No. 166.